{"formula": "CsHoZn", "functional": "PBE-GGA", "state": "optimized geometry", "spacegroup": "F-43m", "dft_energy_ev_per_atom": -1.376, "cell": [[0.000, 3.835, 3.835], [3.835, 0.000, 3.835], [3.835, 3.835, 0.000]], "species": ["Cs", "Ho", "Zn"], "fractional_positions": [[0.000, 0.000, 0.000], [0.750, 0.750, 0.750], [0.500, 0.500, 0.500]]}